# 1
{
  "formula": "Ga3AgC",
  "functional": "PBE",
  "state": "optimized geometry",
  "volume_a3_per_cell": 82.2,
  "sg": "No. 221",
  "energy_ry_per_atom": -0.261,
  "cell": [[-0.7062, -3.3179, 2.7191], [4.2776, -0.3383, 0.6983], [-0.3213, 2.7889, 3.3195]],
  "species": ["C", "Ag", "Ga", "Ga", "Ga"],
  "fractional_positions": [[0.5000, 0.5000, 0.5000], [0.0000, 0.0000, 0.0000], [0.5000, 0.0000, 0.5000], [0.5000, 0.5000, 0.0000], [0.0000, 0.5000, 0.5000]]
}



# 2
{
  "formula": "HfBeSi",
  "functional": "PBE",
  "state": "optimized geometry",
  "volume_a3_per_cell": 186.3,
  "relative_energy_mev_per_atom": 529,
  "sg": "No. 62",
  "energy_ry_per_atom": -0.478,
  "cell": [[6.9144, 0.0000, 0.0000], [0.0000, 3.6850, 0.0000], [0.0000, 0.0000, 7.3102]],
  "species": ["Hf", "Hf", "Hf", "Hf", "Be", "Be", "Be", "Be", "Si", "Si", "Si", "Si"],
  "fractional_positions": [[0.1801, 0.2500, 0.4243], [0.8199, 0.7500, 0.5757], [0.3199, 0.7500, 0.9243], [0.6801, 0.2500, 0.0757], [0.5236, 0.2500, 0.7302], [0.0236, 0.2500, 0.7698], [0.4764, 0.7500, 0.2698], [0.9764, 0.7500, 0.2302], [0.9154, 0.7500, 0.9234], [0.5846, 0.2500, 0.4234], [0.0846, 0.2500, 0.0766], [0.4154, 0.7500, 0.5766]]
}